Entry 1:
A plane-wave DFT calculation with PBE was carried out for a relaxed structure of Pu2CdPd.

Unit cell a=5.1631 b=5.1631 c=5.1631 alpha=60.00 beta=60.00 gamma=60.00
With the nearest neighbours (Å) after each atom.
Sites, in units of the cell vectors:
Pd 0.0000 0.0000 0.0000  8 Pu 3.16
Pu 0.7500 0.7500 0.7500  4 Cd 3.16, 4 Pd 3.16
Pu 0.2500 0.2500 0.2500  4 Cd 3.16, 4 Pd 3.16
Cd 0.5000 0.5000 0.5000  8 Pu 3.16

Computed properties:
Distance to the lowest polymorph of the same formula (meV per atom): 100
Size of the total moment (μB per atom): 2.858
Formation energy from the elements (kJ per mole of atoms): -7.4
Fermi-level density of states (states/eV/f.u.): 19.26
Calculated density (g/cm3): 12.060

Entry 2:
A plane-wave DFT calculation with PBE was carried out for a relaxed structure of TmTaB3.

Unit cell a=3.5498 b=3.1873 c=10.2019 alpha=90.00 beta=100.02 gamma=90.00
With the nearest neighbours (Å) after each atom.
Sites, in units of the cell vectors:
Tm 0.9282 0.7500 0.8563  12 B 2.57-2.64
Tm 0.0718 0.2500 0.1437  12 B 2.57-2.64
B 0.4776 0.2500 0.9552  3 B 1.83-1.96
B 0.6200 0.7500 0.2400  3 B 1.88-1.96
B 0.6693 0.2500 0.3386  2 B 1.88
B 0.3307 0.7500 0.6614  2 B 1.88
B 0.5224 0.7500 0.0448  3 B 1.83-1.96
B 0.3800 0.2500 0.7600  3 B 1.88-1.96
Ta 0.2051 0.7500 0.4102  7 B 2.46-2.52
Ta 0.7949 0.2500 0.5898  7 B 2.46-2.52

Computed properties:
Size of the total moment (μB per atom): 0.000
Formation energy from the elements (kJ per mole of atoms): -64.5
Fermi-level density of states (states/eV/f.u.): 1.18
Calculated density (g/cm3): 11.170

Entry 3:
A plane-wave DFT calculation with PBE was carried out for a relaxed structure of Pr8Tl2Os.

Unit cell a=5.6363 b=7.2285 c=9.5042 alpha=110.14 beta=107.25 gamma=90.00
With the nearest neighbours (Å) after each atom.
Sites, in units of the cell vectors:
Os 0.5000 0.0000 0.0000  4 Pr 2.85-2.87
Pr 0.7993 0.7473 0.5986  3 Tl 3.32-3.47, 5 Pr 3.47-3.71
Pr 0.9927 0.2269 0.9854  2 Os 3.29, 5 Pr 3.39-3.64, 1 Tl 3.42
Pr 0.2007 0.2527 0.4014  3 Tl 3.32-3.47, 5 Pr 3.47-3.71
Pr 0.3992 0.5938 0.7984  1 Os 2.85
Pr 0.3571 0.0840 0.7143  1 Os 2.87
Pr 0.6008 0.4062 0.2016  1 Os 2.85
Pr 0.6429 0.9160 0.2857  1 Os 2.87
Pr 0.0073 0.7731 0.0146  2 Os 3.29, 5 Pr 3.39-3.64, 1 Tl 3.42
Tl 0.8183 0.3077 0.6366  9 Pr 3.32-3.49
Tl 0.1817 0.6923 0.3634  9 Pr 3.32-3.49

Computed properties:
Size of the total moment (μB per atom): 0.000
Formation energy from the elements (kJ per mole of atoms): -13.9
Fermi-level density of states (states/eV/f.u.): 11.56
Calculated density (g/cm3): 8.310

Entry 4:
A plane-wave DFT calculation with PBE was carried out for a relaxed structure of LiSm4Ru3.

Unit cell a=4.9254 b=4.9254 c=7.9394 alpha=108.07 beta=108.07 gamma=90.00
With the nearest neighbours (Å) after each atom.
Sites, in units of the cell vectors:
Sm 0.8701 0.8703 0.7402  6 Ru 2.98-3.08, 2 Li 3.08
Sm 0.3701 0.3702 0.7402  6 Ru 2.98-3.08, 2 Li 3.08
Sm 0.1299 0.1297 0.2598  6 Ru 2.98-3.08, 2 Li 3.08
Sm 0.6299 0.6298 0.2598  6 Ru 2.98-3.08, 2 Li 3.08
Ru 0.0000 0.5000 0.0000  8 Sm 3.08
Ru 0.7474 0.2474 0.4949  8 Sm 2.98-3.02
Ru 0.2526 0.7526 0.5051  8 Sm 2.98-3.02
Li 0.5000 0.0000 0.0000  8 Sm 3.08

Computed properties:
Size of the total moment (μB per atom): 0.000
Formation energy from the elements (kJ per mole of atoms): -18.5
Fermi-level density of states (states/eV/f.u.): 5.71
Calculated density (g/cm3): 8.745

Entry 5:
A plane-wave DFT calculation with PBE was carried out for a relaxed structure of CuAgMo2.

Unit cell a=5.2378 b=5.2378 c=5.2378 alpha=142.56 beta=135.01 gamma=59.92
With the nearest neighbours (Å) after each atom.
Sites, in units of the cell vectors:
Mo 0.4939 0.4939 0.0000  4 Mo 2.62, 2 Cu 2.78, 2 Ag 2.87
Mo 0.0061 0.0061 0.0000  4 Mo 2.62, 2 Cu 2.78, 2 Ag 2.87
Ag 0.7500 0.2500 0.5000  4 Cu 2.62, 4 Mo 2.87
Cu 0.2500 0.7500 0.5000  4 Ag 2.62, 4 Mo 2.78

Computed properties:
Distance to the lowest polymorph of the same formula (meV per atom): 157
Size of the total moment (μB per atom): 0.000
Formation energy from the elements (kJ per mole of atoms): 37.5
Fermi-level density of states (states/eV/f.u.): 2.93
Calculated density (g/cm3): 9.867

Entry 6:
A plane-wave DFT calculation with PBE was carried out for a relaxed structure of K3Pr2NdTe6.

Unit cell a=8.0356 b=8.0356 c=8.6840 alpha=98.87 beta=98.87 gamma=120.00
With the nearest neighbours (Å) after each atom.
Sites, in units of the cell vectors:
Te 0.4036 0.0718 0.2156  1 Nd 3.21, 2 Pr 3.22, 3 K 3.56-3.57
Te 0.2597 0.2597 0.7842  1 Nd 3.21, 2 Pr 3.22, 3 K 3.56-3.57
Te 0.5964 0.9282 0.7844  1 Nd 3.21, 2 Pr 3.22, 3 K 3.56-3.57
Te 0.9282 0.5964 0.7844  1 Nd 3.21, 2 Pr 3.22, 3 K 3.56-3.57
Te 0.7403 0.7403 0.2158  1 Nd 3.21, 2 Pr 3.22, 3 K 3.56-3.57
Te 0.0718 0.4036 0.2156  1 Nd 3.21, 2 Pr 3.22, 3 K 3.56-3.57
Pr 0.6666 0.3334 0.0000  6 Te 3.22
Pr 0.3334 0.6666 0.0000  6 Te 3.22
K 0.8330 0.1670 0.5000  6 Te 3.56-3.57
K 0.5000 0.5000 0.5000  6 Te 3.56-3.57
K 0.1670 0.8330 0.5000  6 Te 3.56-3.57
Nd 0.0000 0.0000 0.0000  6 Te 3.21

Computed properties:
Total DFT energy (no corrections) (eV per cell): -53.50
Size of the total moment (μB per atom): 0.000
Calculated density (g/cm3): 4.705

Entry 7:
A plane-wave DFT calculation with PBE was carried out for a relaxed structure of ZrAg2Se.

Unit cell a=6.2694 b=6.2694 c=4.0337 alpha=71.22 beta=71.22 gamma=128.52
With the nearest neighbours (Å) after each atom.
Sites, in units of the cell vectors:
Ag 0.0000 0.0000 0.0000  4 Ag 2.72
Ag 0.5000 0.5000 0.0000  4 Ag 2.72
Se 0.5000 0.0000 0.5000  4 Zr 2.72
Zr 0.0000 0.5000 0.5000  4 Se 2.72

Computed properties:
Total DFT energy (no corrections) (eV per cell): -18.64
Size of the total moment (μB per atom): 0.000
Fermi-level density of states (states/eV/f.u.): 2.11
Calculated density (g/cm3): 7.694

Entry 8:
A plane-wave DFT calculation with PBE was carried out for a relaxed structure of SbAs2SeBr.

Unit cell a=5.1209 b=5.1209 c=5.1425 alpha=90.00 beta=90.00 gamma=90.00
With the nearest neighbours (Å) after each atom.
Sites, in units of the cell vectors:
Se 0.0000 0.0000 0.5000  2 Br 2.57
Sb 0.5000 0.5000 0.5000  4 Se 3.62, 8 As 3.63
As 0.5000 0.0000 0.0000  2 Br 2.56
As 0.0000 0.5000 0.0000  2 Br 2.56
Br 0.0000 0.0000 0.0000  4 As 2.56, 2 Se 2.57

Computed properties:
Distance to the lowest polymorph of the same formula (meV per atom): 345
Size of the total moment (μB per atom): 0.000
Fermi-level density of states (states/eV/f.u.): 5.02
Calculated density (g/cm3): 5.301

Entry 9:
A plane-wave DFT calculation with PBE was carried out for a relaxed structure of Hf9Tl2Hg.

Unit cell a=4.4278 b=4.4278 c=13.2646 alpha=90.00 beta=90.00 gamma=90.00
With the nearest neighbours (Å) after each atom.
Sites, in units of the cell vectors:
Hf 0.0000 0.5000 0.5000  8 Hf 3.13-3.14, 4 Tl 3.14
Hf 0.5000 0.0000 0.1646  8 Hf 3.11-3.14, 2 Hg 3.11, 2 Tl 3.13
Hf 0.5000 0.0000 0.8354  8 Hf 3.11-3.14, 2 Hg 3.11, 2 Tl 3.13
Hf 0.5000 0.5000 0.3320  4 Tl 3.13, 8 Hf 3.14
Hf 0.5000 0.5000 0.0000  8 Hf 3.11, 4 Hg 3.13
Hf 0.5000 0.0000 0.5000  8 Hf 3.13-3.14, 4 Tl 3.14
Hf 0.0000 0.5000 0.8354  8 Hf 3.11-3.14, 2 Hg 3.11, 2 Tl 3.13
Hf 0.5000 0.5000 0.6680  4 Tl 3.13, 8 Hf 3.14
Hf 0.0000 0.5000 0.1646  8 Hf 3.11-3.14, 2 Hg 3.11, 2 Tl 3.13
Tl 0.0000 0.0000 0.3319  12 Hf 3.13-3.14
Tl 0.0000 0.0000 0.6681  12 Hf 3.13-3.14
Hg 0.0000 0.0000 0.0000  12 Hf 3.11-3.13

Computed properties:
Size of the total moment (μB per atom): 0.000
Formation energy from the elements (kJ per mole of atoms): -0.9
Fermi-level density of states (states/eV/f.u.): 6.74
Calculated density (g/cm3): 14.148

Entry 10:
A plane-wave DFT calculation with PBE was carried out for a relaxed structure of NaVSb2.

Unit cell a=6.7908 b=6.7908 c=7.8784 alpha=64.47 beta=64.47 gamma=90.00
With the nearest neighbours (Å) after each atom.
Sites, in units of the cell vectors:
Sb 0.3750 0.2811 0.7500  2 V 2.54
Sb 0.8750 0.9689 0.7500  2 V 2.54
Sb 0.7189 0.1250 0.2500  2 V 2.54
Sb 0.0311 0.6250 0.2500  2 V 2.54
Na 0.5000 0.5000 0.0000  4 Sb 3.28
Na 0.2500 0.7500 0.5000  4 Sb 3.28
V 0.7500 0.2500 0.5000  4 Sb 2.54
V 0.0000 0.0000 0.0000  4 Sb 2.54

Computed properties:
Distance to the lowest polymorph of the same formula (meV per atom): 379
Size of the total moment (μB per atom): 0.009
Fermi-level density of states (states/eV/f.u.): 1.03
Calculated density (g/cm3): 3.660

Entry 11:
A plane-wave DFT calculation with PBE was carried out for a relaxed structure of ReTc2NiAg.

Unit cell a=4.7000 b=4.5624 c=4.7000 alpha=90.00 beta=90.00 gamma=90.00
With the nearest neighbours (Å) after each atom.
Sites, in units of the cell vectors:
Tc 0.5000 0.0000 0.0000  2 Re 2.35
Tc 0.0000 0.0000 0.5000  2 Re 2.35
Ni 0.0000 0.5000 0.0000  2 Re 2.28
Ag 0.5000 0.5000 0.5000  8 Tc 3.28, 4 Ni 3.32
Re 0.0000 0.0000 0.0000  2 Ni 2.28, 4 Tc 2.35

Computed properties:
Size of the total moment (μB per atom): 0.438
Formation energy from the elements (kJ per mole of atoms): 146.1
Fermi-level density of states (states/eV/f.u.): 4.31
Calculated density (g/cm3): 9.041

Entry 12:
A plane-wave DFT calculation with PBE was carried out for a relaxed structure of MgTl2Au2.

Unit cell a=3.8630 b=3.8630 c=8.8692 alpha=77.42 beta=77.42 gamma=90.00
With the nearest neighbours (Å) after each atom.
Sites, in units of the cell vectors:
Tl 0.3940 0.3940 0.2120  4 Au 3.10, 4 Mg 3.27
Tl 0.6060 0.6060 0.7880  4 Au 3.10, 4 Mg 3.27
Au 0.7500 0.2500 0.5000  4 Au 2.73
Au 0.2500 0.7500 0.5000  4 Au 2.73
Mg 0.0000 0.0000 0.0000  8 Tl 3.27

Computed properties:
Distance to the lowest polymorph of the same formula (meV per atom): 168
Size of the total moment (μB per atom): 0.000
Formation energy from the elements (kJ per mole of atoms): 4.5
Fermi-level density of states (states/eV/f.u.): 2.42
Calculated density (g/cm3): 10.906